The following is a DFT calculation (PBE) of a relaxed structure of SrYTm4Se8.

Summary:
Symmetry ... R3m (160)
Uncorrected formation energy ... -1772 meV per atom
Electronic total energy ... -5.6228 eV/atom

abc: 8.440 8.440 8.473
angles: 60.13 60.13 60.00
Sites, in units of the cell vectors:
Sr (0.374, 0.374, 0.878)
Y (0.002, 0.002, 0.994)
Tm (0.495, 0.002, 0.502)
Tm (0.002, 0.002, 0.502)
Tm (0.002, 0.495, 0.502)
Tm (0.625, 0.625, 0.124)
Se (0.235, 0.235, 0.294)
Se (0.755, 0.755, 0.261)
Se (0.791, 0.239, 0.731)
Se (0.758, 0.758, 0.727)
Se (0.239, 0.239, 0.731)
Se (0.239, 0.791, 0.731)
Se (0.755, 0.229, 0.261)
Se (0.229, 0.755, 0.261)

The following is a DFT calculation (PBE) of a relaxed structure of ReSb2TeI.

Summary:
Symmetry ... P4/mmm (123)
Uncorrected formation energy ... 1824 meV per atom
Electronic total energy ... -3.2530 eV/atom
Energy above the lowest structure with this stoichiometry ... 1318 meV/atom

abc: 5.825 5.825 5.782
angles: 90.00 90.00 90.00
Each line ends with the local moment (μB).
Sites, in units of the cell vectors:
I (0.000, 0.000, 0.500)  0.01
Re (0.500, 0.500, 0.500)  3.99
Te (0.000, 0.000, 0.000)  0.02
Sb (0.500, 0.000, 0.000)  -0.29
Sb (0.000, 0.500, 0.000)  -0.29

The following is a DFT calculation (PBE) of a relaxed structure of BeHgSCl2.

Summary:
Symmetry ... P4/mmm (123)
Uncorrected formation energy ... 678 meV per atom
Electronic total energy ... -1.6913 eV/atom
Energy above the lowest structure with this stoichiometry ... 966 meV/atom

abc: 5.114 5.114 5.153
angles: 90.00 90.00 90.00
Sites, in units of the cell vectors:
Cl (0.500, 0.000, 0.000)
Cl (0.000, 0.500, 0.000)
Hg (0.000, 0.000, 0.000)
Be (0.500, 0.500, 0.500)
S (0.000, 0.000, 0.500)

The following is a DFT calculation (PBE) of a relaxed structure of LiPd2Au5.

Summary:
DFT formation energy ... -0.22 eV per atom
Symmetry ... I4/mmm (139)
Electronic total energy ... -3.8108 eV/atom
Energy above the lowest structure with this stoichiometry ... 0 meV/atom

abc: 5.628 5.628 5.628
angles: 105.63 105.65 117.44
Sites, in units of the cell vectors:
Au (0.278, 0.778, 0.000)
Au (0.778, 0.778, 0.500)
Au (0.278, 0.278, 0.500)
Au (0.778, 0.278, 0.000)
Au (0.278, 0.277, 0.000)
Pd (0.778, 0.278, 0.500)
Pd (0.278, 0.778, 0.500)
Li (0.778, 0.778, 0.000)

The following is a DFT calculation (PBE) of a relaxed structure of CeMg2P2Rh7.

Summary:
DFT formation energy ... -0.60 eV per atom
Symmetry ... C2/m (12)
Electronic total energy ... -6.5530 eV/atom

abc: 3.979 3.979 12.759
angles: 81.36 81.36 89.08
Sites, in units of the cell vectors:
Rh (0.584, 0.085, 0.824)
Rh (0.500, 0.500, 0.000)
Rh (0.416, 0.915, 0.176)
Rh (0.661, 0.661, 0.556)
Rh (0.915, 0.416, 0.176)
Rh (0.339, 0.339, 0.444)
Rh (0.085, 0.584, 0.824)
P (0.629, 0.629, 0.731)
P (0.371, 0.371, 0.269)
Ce (0.000, 0.000, 0.000)
Mg (0.855, 0.855, 0.345)
Mg (0.145, 0.145, 0.655)

The following is a DFT calculation (PBE) of a relaxed structure of Pm2TmSc4.

Summary:
DFT formation energy ... 0.08 eV per atom
Symmetry ... P1 (1)
Electronic total energy ... -5.5311 eV/atom

abc: 9.389 8.339 8.332
angles: 140.83 93.18 98.23
Sites, in units of the cell vectors:
Pm (0.501, 0.450, 0.890)
Pm (0.749, 0.139, 0.450)
Pm (0.126, 0.398, 0.772)
Pm (0.625, 0.259, 0.134)
Tm (0.248, 0.226, 0.041)
Tm (0.002, 0.542, 0.476)
Sc (0.358, 0.664, 0.677)
Sc (0.701, 0.698, 0.771)
Sc (0.548, 0.819, 0.497)
Sc (0.029, 0.954, 0.115)
Sc (0.892, 0.066, 0.802)
Sc (0.220, 0.837, 0.426)
Sc (0.869, 0.641, 0.172)
Sc (0.381, 0.057, 0.275)